[1]
InSb2TeW | PBE | optimized geometry

```
5
Lattice="-1.424 0.375 5.255 0.984 -5.329 0.647 5.304 1.144 1.356" Properties=species:S:1:pos:R:3 pbc="T T T"
Sb 0.492 -2.665 0.323
Sb -0.712 0.187 2.628
Te 2.652 0.572 0.678
W 2.432 -1.906 3.629
In 0.000 0.000 0.000
```

Output
raw formation energy: 1936 meV/atom
E_tot: -17.397 eV/cell


[2]
K2AlCu | PBE | optimized geometry

```
8
Lattice="-11.196 -0.376 5.780 -0.487 -12.473 -1.755 -4.770 -6.755 4.066" Properties=species:S:1:pos:R:3 pbc="T T T"
K -10.409 -3.555 5.524
K -11.934 -9.835 5.308
K -7.865 -7.480 4.898
K -13.407 -6.240 7.988
Al -5.841 -6.424 2.013
Al -5.549 -12.826 2.162
Cu 0.000 0.000 0.000
Cu -10.903 -6.778 5.929
```

Output
E_tot: -17.807 eV/cell
E_form: 0.283 eV/atom


[3]
ZrAs2Rh | PBE | optimized geometry

```
4
Lattice="-0.881 2.562 -3.784 -4.337 0.277 -1.665 -2.391 3.974 0.385" Properties=species:S:1:pos:R:3 pbc="T T T"
As 0.000 0.000 0.000
As -5.706 5.109 -3.797
Rh -3.804 3.406 -2.531
Zr -1.902 1.703 -1.266
```

Output
E_tot: -26.326 eV/cell
E_form: -0.282 eV/atom


- Which of these has the lowest E_tot?
  ZrAs2Rh


- E_tot of number 2 (K2AlCu)?
  -17.807 eV/cell